DFT (PBE) results for a relaxed structure of Sc5TlIn4.

Electronic total energy: -4.896 eV per atom

```
data_Sc5TlIn4
_chemical_formula_sum 'Sc5 Tl1 In4'
_symmetry_space_group_name_H-M 'P 4/m m m'
_symmetry_Int_Tables_number 123
_symmetry_space_group_name_Hall '-P 4 2'
_cell_length_a 3.217
_cell_length_b 3.217
_cell_length_c 21.883
_cell_angle_alpha 90.00
_cell_angle_beta 90.00
_cell_angle_gamma 90.00
loop_
_atom_site_label
_atom_site_fract_x
_atom_site_fract_y
_atom_site_fract_z
Sc1 0.000 0.000 0.000
Sc2 0.000 0.000 0.199
Sc3 0.000 0.000 0.397
Tl1 0.500 0.500 0.500
In1 0.500 0.500 0.099
In2 0.500 0.500 0.299
```



DFT (PBE) results for a relaxed structure of ScTlIn2.

Electronic total energy: -3.551 eV per atom

```
data_ScTlIn2
_chemical_formula_sum 'Sc2 Tl2 In4'
_symmetry_space_group_name_H-M 'C m m 2'
_symmetry_Int_Tables_number 35
_cell_length_a 3.640
_cell_length_b 5.591
_cell_length_c 10.251
_cell_angle_alpha 90.00
_cell_angle_beta 90.00
_cell_angle_gamma 90.00
loop_
_symmetry_equiv_pos_as_xyz
'x,y,z'
'-x,-y,z'
'-x,y,z'
'x,-y,z'
'x+1/2,y+1/2,z'
'-x+1/2,-y+1/2,z'
'-x+1/2,y+1/2,z'
'x+1/2,-y+1/2,z'
loop_
_atom_site_label
_atom_site_fract_x
_atom_site_fract_y
_atom_site_fract_z
Sc1 0.000 0.000 0.000
Tl1 0.000 0.500 0.243
In1 0.000 0.000 0.508
In2 0.000 0.500 0.764
```



DFT (PBE) results for a relaxed structure of Sc4TlIn.

Energy above the most stable polymorph in this dataset: 0 meV per atom

```
data_Sc4TlIn
_chemical_formula_sum 'Sc4 Tl1 In1'
_symmetry_space_group_name_H-M 'P m m m'
_symmetry_Int_Tables_number 47
_cell_length_a 3.303
_cell_length_b 5.248
_cell_length_c 8.631
_cell_angle_alpha 90.00
_cell_angle_beta 90.00
_cell_angle_gamma 90.00
loop_
_symmetry_equiv_pos_as_xyz
'x,y,z'
'-x,-y,-z'
'-x,-y,z'
'x,y,-z'
'x,-y,-z'
'-x,y,z'
'-x,y,-z'
'x,-y,z'
loop_
_atom_site_label
_atom_site_fract_x
_atom_site_fract_y
_atom_site_fract_z
Sc1 0.000 0.000 0.193
Sc2 0.500 0.500 0.304
Tl1 0.500 0.000 0.500
In1 0.000 0.500 0.000
```



DFT (PBE) results for a relaxed structure of Sc2TlIn.

Energy above the most stable polymorph in this dataset: 1 meV per atom

```
data_Sc2TlIn
_chemical_formula_sum 'Sc4 Tl2 In2'
_symmetry_space_group_name_H-M 'I 4/m m m'
_symmetry_Int_Tables_number 139
_symmetry_space_group_name_Hall '-I 4 2'
_cell_length_a 4.630
_cell_length_b 4.630
_cell_length_c 8.562
_cell_angle_alpha 90.00
_cell_angle_beta 90.00
_cell_angle_gamma 90.00
loop_
_atom_site_label
_atom_site_fract_x
_atom_site_fract_y
_atom_site_fract_z
Sc1 0.000 0.500 0.250
Tl1 0.000 0.000 0.000
In1 0.000 0.000 0.500
```



Record order is preserved below.
Total magnetization: 1.253 0.007 1.338 0.686 μB/f.u.